MgCuIrRh: relaxed, PBE-GGA.

Results
ρ in Mg/m³: 10.9
DFT total energy in eV per atom: -5.51
DFT formation energy in eV per atom: -0.035
Symmetry: F-43m (216)

a = 4.3523 Å, b = 4.3523 Å, c = 4.3523 Å
α = 60.00°, β = 60.00°, γ = 60.00°
Last column: magnetic moment on the atom in μB.
Positions (direct):
1 Ir 0.0000 0.0000 0.0000  0.60
2 Mg 0.5000 0.5000 0.5000  0.00
3 Cu 0.7500 0.7500 0.7500  0.02
4 Rh 0.2500 0.2500 0.2500  0.71